Compound: Ti2VH
Source: the Alexandria database
Functional: PBE
Structure: optimized geometry

- Raw total energy: -6.9125 eV per atom

Geometry as CIF:
```
data_Ti2VH
_chemical_formula_sum 'Ti2 V1 H1'
_cell_length_a 2.666
_cell_length_b 2.666
_cell_length_c 6.906
_cell_angle_alpha 90.00
_cell_angle_beta 90.00
_cell_angle_gamma 90.00
_space_group_name_H-M_alt 'P 4/m m m'
_space_group_IT_number 123
_space_group_name_Hall '-P 4 2'
loop_
_atom_site_label
_atom_site_fract_x
_atom_site_fract_y
_atom_site_fract_z
Ti1 0.000 0.000 0.193
V1 0.500 0.500 0.500
H1 0.500 0.500 0.000
```

Compound: Rb6CeF12
Source: the Alexandria database
Functional: PBE
Structure: optimized geometry

- E_form (uncorrected): -63.2 kcal/mol of atoms

Geometry as CIF:
```
data_Rb6CeF12
_chemical_formula_sum 'Rb18 Ce3 F36'
_cell_length_a 11.9538
_cell_length_b 11.9538
_cell_length_c 11.0967
_cell_angle_alpha 90.00
_cell_angle_beta 90.00
_cell_angle_gamma 120.00
_space_group_name_H-M_alt 'R -3'
_space_group_IT_number 148
_space_group_name_Hall '-R 3'
loop_
_atom_site_label
_atom_site_fract_x
_atom_site_fract_y
_atom_site_fract_z
Rb1 0.0695 0.8078 0.1487
Ce1 0.0000 0.0000 0.5000
F1 0.0468 0.8743 0.3953
F2 0.0681 0.8172 0.8913
```